(1)
Ta2MoRu GGA-PBE optimized geometry; crystal system = tetragonal; total moment = 0.000 μB/atom; D(E_F) = 0.40 states/eV per atom; volume = 66 Å³ per cell
1.0
3.2030 0.0000 0.0000
0.0000 3.2030 0.0000
0.0000 0.0000 6.4040
Ta Mo Ru
2 1 1
direct
0.0000 0.0000 0.4970
0.0000 0.0000 0.0030
0.5000 0.5000 0.2500
0.5000 0.5000 0.7500

=====

(2)
Ta2MoRu GGA-PBE optimized geometry; crystal system = trigonal; total moment = 0.000 μB/atom; D(E_F) = 1.13 states/eV per atom; volume = 68 Å³ per cell
1.0
8.4687 -0.0230 -0.0136
7.9188 3.0021 -0.0136
7.9188 1.4396 2.6345
Ta Ru Mo
2 1 1
direct
0.4998 0.4998 0.4998
0.0002 0.0002 0.0002
0.7500 0.7500 0.7500
0.2500 0.2500 0.2500

=====

(3)
Ta2MoRu GGA-PBE optimized geometry; crystal system = orthorhombic; total moment = 0.000 μB/atom; D(E_F) = 0.69 states/eV per atom; volume = 66 Å³ per cell
1.0
-0.9285 3.1187 -4.2491
0.7781 -2.0828 -4.8682
-2.6788 -0.4854 4.6077
Ta Mo Ru
2 1 1
direct
0.0022 0.0022 0.0000
0.7457 0.2457 0.5000
0.5025 0.5025 0.0000
0.2496 0.7496 0.5000

=====

Verdict on stability: (2) comes out at the bottom.

=====

(1)
Ta2MoRu GGA-PBE optimized geometry; crystal system = orthorhombic; total moment = 0.079 μB/atom; D(E_F) = 1.20 states/eV per atom; volume = 66 Å³ per cell
1.0
-1.9817 0.9474 1.7662
0.2311 -2.8001 0.2236
6.1346 1.0126 6.3400
Mo Ta Ru
1 2 1
direct
0.0000 0.0000 0.5097
0.0000 0.0000 0.9875
0.5000 0.5000 0.2553
0.5000 0.5000 0.7476

=====

(2)
Ta2MoRu GGA-PBE optimized geometry; crystal system = cubic; total moment = 0.000 μB/atom; D(E_F) = 1.11 states/eV per atom; volume = 66 Å³ per cell
1.0
4.5277 0.0000 0.0000
2.2639 3.9211 0.0000
2.2639 1.3070 3.6969
Ta Ru Mo
2 1 1
direct
0.2500 0.2500 0.2500
0.0000 0.0000 0.0000
0.7500 0.7500 0.7500
0.5000 0.5000 0.5000

=====

Verdict on stability: (1) comes out at the bottom.

=====

(1)
Ta2MoRu GGA-PBE optimized geometry; crystal system = tetragonal; total moment = 0.000 μB/atom; D(E_F) = 0.95 states/eV per atom; volume = 66 Å³ per cell
1.0
3.2040 0.0000 0.0000
0.0000 3.2040 0.0000
0.0000 0.0000 6.4440
Mo Ta Ru
1 2 1
direct
0.0000 0.0000 0.4973
0.5000 0.5000 0.2585
0.0000 0.0000 0.9909
0.5000 0.5000 0.7533

=====

(2)
Ta2MoRu GGA-PBE optimized geometry; crystal system = monoclinic; total moment = 0.000 μB/atom; D(E_F) = 0.74 states/eV per atom; volume = 66 Å³ per cell
1.0
5.3398 -0.0001 -0.0003
-2.4514 4.6088 0.0006
0.4370 0.8555 2.6751
Mo Ru Ta
1 1 2
direct
0.0000 0.5000 0.5000
0.5000 0.5000 0.0000
0.0000 0.0000 0.0000
0.5000 0.0000 0.5000

=====

(3)
Ta2MoRu GGA-PBE optimized geometry; crystal system = monoclinic; total moment = 0.000 μB/atom; D(E_F) = 0.72 states/eV per atom; volume = 66 Å³ per cell
1.0
4.5317 0.0000 0.0000
0.0000 2.8478 -0.0017
0.0000 1.0297 5.1108
Ru Ta Mo
1 2 1
direct
0.5000 0.7526 0.7573
0.0000 0.9909 0.9923
0.5000 0.2637 0.2586
0.0000 0.4927 0.4918

=====

Verdict on stability: (1) comes out at the bottom.

=====

(1)
Ta3MoRu2 GGA-PBE optimized geometry; crystal system = tetragonal; total moment = 0.000 μB/atom; D(E_F) = 0.65 states/eV per atom; volume = 98 Å³ per cell
1.0
3.2035 0.0000 0.0000
0.0000 3.2035 0.0000
0.0000 0.0000 9.5277
Ru Ta Mo
2 3 1
direct
0.5000 0.5000 0.8386
0.5000 0.5000 0.1614
0.0000 0.0000 0.6635
0.0000 0.0000 0.3365
0.0000 0.0000 0.0000
0.5000 0.5000 0.5000

=====

(2)
Ta3MoRu2 GGA-PBE optimized geometry; crystal system = orthorhombic; total moment = 0.000 μB/atom; D(E_F) = 0.51 states/eV per atom; volume = 195 Å³ per cell
1.0
-2.9616 -3.4005 -0.1292
0.2512 -3.4480 6.2362
-4.5335 3.8604 2.3170
Ta Ru Mo
6 4 2
direct
0.1676 0.6649 0.2473
0.1676 0.6649 0.7527
0.5000 0.0000 0.2476
0.5000 0.0000 0.7524
0.8324 0.3351 0.7527
0.8324 0.3351 0.2473
0.6658 0.6684 0.5000
0.3342 0.3316 0.5000
0.0000 0.0000 0.5000
0.0000 0.0000 0.0000
0.3350 0.3300 0.0000
0.6650 0.6700 0.0000

=====

Verdict on stability: (1) comes out at the bottom.

=====

(1)
TaMo3Ru GGA-PBE optimized geometry; crystal system = cubic; total moment = 0.000 μB/atom; D(E_F) = 0.87 states/eV per atom; volume = 99 Å³ per cell
1.0
4.6309 0.0000 0.0000
0.0000 4.6309 0.0000
0.0000 0.0000 4.6309
Ta Mo Ru
1 3 1
direct
0.5000 0.5000 0.5000
0.0000 0.0000 0.5000
0.5000 0.0000 0.0000
0.0000 0.5000 0.0000
0.0000 0.0000 0.0000

=====

(2)
TaMo3Ru GGA-PBE optimized geometry; crystal system = cubic; total moment = 0.186 μB/atom; D(E_F) = 1.04 states/eV per atom; volume = 103 Å³ per cell
1.0
4.6847 0.0000 0.0000
0.0000 4.6847 0.0000
0.0000 0.0000 4.6847
Mo Ta Ru
3 1 1
direct
0.5000 0.0000 0.0000
0.0000 0.0000 0.5000
0.0000 0.5000 0.0000
0.0000 0.0000 0.0000
0.5000 0.5000 0.5000

=====

Verdict on stability: (2) comes out at the bottom.

=====

(1)
TcMoRu2 GGA-PBE optimized geometry; crystal system = tetragonal; total moment = 0.000 μB/atom; D(E_F) = 1.04 states/eV per atom; volume = 59 Å³ per cell
1.0
-2.7368 0.1440 0.0776
-0.1155 -2.6215 0.7945
0.3292 2.2433 7.4500
Mo Ru Tc
1 2 1
direct
0.5000 0.5000 0.7559
0.5000 0.5000 0.2522
0.0000 0.0000 0.0031
0.0000 0.0000 0.4887

=====

(2)
TcMoRu2 GGA-PBE optimized geometry; crystal system = orthorhombic; total moment = 0.000 μB/atom; D(E_F) = 0.68 states/eV per atom; volume = 59 Å³ per cell
1.0
2.8485 0.0000 0.0000
0.0000 4.5003 -0.5971
0.0000 0.2705 4.5316
Ru Tc Mo
2 1 1
direct
0.0000 0.3339 0.9159
0.0000 0.9159 0.3339
0.5000 0.4216 0.4216
0.5000 0.8273 0.8273

=====

Verdict on stability: (1) comes out at the bottom.

=====

(1)
TcMoRu2 GGA-PBE optimized geometry; crystal system = monoclinic; total moment = 0.000 μB/atom; D(E_F) = 1.02 states/eV per atom; volume = 58 Å³ per cell
1.0
-3.7956 -2.8577 -0.1755
-1.5906 -4.4803 0.0176
-0.8056 -0.5420 4.6443
Mo Ru Tc
1 2 1
direct
0.7500 0.7500 0.7500
0.5025 0.5025 0.4927
0.9975 0.9975 0.0073
0.2500 0.2500 0.2500

=====

(2)
TcMoRu2 GGA-PBE optimized geometry; crystal system = cubic; total moment = 0.386 μB/atom; D(E_F) = 1.46 states/eV per atom; volume = 59 Å³ per cell
1.0
-2.7813 -1.3319 3.1108
-3.8414 -1.7852 -1.1150
-0.6926 -4.2786 0.6327
Mo Tc Ru
1 1 2
direct
0.5000 0.5000 0.5000
0.7500 0.7500 0.7500
0.2500 0.2500 0.2500
0.0000 0.0000 0.0000

=====

(3)
TcMoRu2 GGA-PBE optimized geometry; crystal system = tetragonal; total moment = 0.000 μB/atom; D(E_F) = 1.43 states/eV per atom; volume = 58 Å³ per cell
1.0
3.8847 0.0000 0.0000
0.0000 3.8847 0.0000
0.0000 0.0000 3.8560
Tc Mo Ru
1 1 2
direct
0.5000 0.0000 0.5000
0.0000 0.5000 0.5000
0.0000 0.0000 0.0000
0.5000 0.5000 0.0000

=====

Verdict on stability: (2) comes out at the bottom.

=====

(1)
TcMoRu2 GGA-PBE optimized geometry; crystal system = cubic; total moment = 0.000 μB/atom; D(E_F) = 2.01 states/eV per atom; volume = 59 Å³ per cell
1.0
0.0000 3.0964 3.0964
3.0964 0.0000 3.0964
3.0964 3.0964 0.0000
Ru Tc Mo
2 1 1
direct
0.2500 0.2500 0.2500
0.7500 0.7500 0.7500
0.5000 0.5000 0.5000
0.0000 0.0000 0.0000

=====

(2)
TcMoRu2 GGA-PBE optimized geometry; crystal system = orthorhombic; total moment = 0.000 μB/atom; D(E_F) = 1.24 states/eV per atom; volume = 58 Å³ per cell
1.0
-0.4557 3.4133 -3.2543
-4.1966 -0.7152 2.0799
0.6163 1.8855 1.8915
Ru Mo Tc
2 1 1
direct
0.5000 0.5000 0.0000
0.0000 0.0000 0.0000
0.0000 0.5000 0.5000
0.5000 0.0000 0.5000

=====

(3)
TcMoRu2 GGA-PBE optimized geometry; crystal system = tetragonal; total moment = 0.000 μB/atom; D(E_F) = 1.16 states/eV per atom; volume = 127 Å³ per cell
1.0
-0.9976 3.6522 -0.3283
-1.7843 -0.1863 3.3501
6.0245 4.1255 5.5934
Ru Tc Mo
4 2 2
direct
0.8750 0.8811 0.7500
0.1189 0.6250 0.2500
0.3750 0.3689 0.7500
0.6311 0.1250 0.2500
0.0000 0.0000 0.0000
0.7500 0.2500 0.5000
0.5000 0.5000 0.0000
0.2500 0.7500 0.5000

=====

Verdict on stability: (3) comes out at the bottom.

=====

(1)
TcMoRu2 GGA-PBE optimized geometry; crystal system = orthorhombic; total moment = 0.000 μB/atom; D(E_F) = 0.98 states/eV per atom; volume = 58 Å³ per cell
1.0
-0.3354 2.3182 -1.4341
-2.7908 -1.6760 -2.0564
-3.7360 1.7260 3.6636
Mo Ru Tc
1 2 1
direct
0.5000 0.5000 0.7500
0.0000 0.0000 0.4933
0.0000 0.0000 0.0067
0.5000 0.5000 0.2500

=====

(2)
TcMoRu2 GGA-PBE optimized geometry; crystal system = monoclinic; total moment = 0.000 μB/atom; D(E_F) = 1.14 states/eV per atom; volume = 58 Å³ per cell
1.0
-2.5286 4.0089 -0.0031
-3.6971 2.3242 -1.8426
-3.3542 -1.1410 3.1755
Ru Mo Tc
2 1 1
direct
0.2522 0.2522 0.2614
0.9945 0.9945 0.9997
0.7498 0.7498 0.7587
0.5035 0.5035 0.4802

=====

Verdict on stability: (2) comes out at the bottom.

=====

(1)
TcMoRu2 GGA-PBE optimized geometry; crystal system = trigonal; total moment = 0.000 μB/atom; D(E_F) = 1.21 states/eV per atom; volume = 58 Å³ per cell
1.0
-3.9462 -8.2137 0.8619
-2.6040 -8.1540 3.2422
-5.0689 -6.9916 3.0337
Tc Ru Mo
1 2 1
direct
0.2500 0.2500 0.2500
0.9988 0.9988 0.9988
0.5012 0.5012 0.5012
0.7500 0.7500 0.7500

=====

(2)
TcMoRu2 GGA-PBE optimized geometry; crystal system = tetragonal; total moment = 0.000 μB/atom; D(E_F) = 1.29 states/eV per atom; volume = 58 Å³ per cell
1.0
4.7395 0.0013 0.0009
1.5578 4.4762 -0.0009
-3.1494 -2.2377 2.7454
Tc Ru Mo
1 2 1
direct
0.7500 0.2500 0.5000
0.5000 0.5000 0.0000
0.0000 0.0000 0.0000
0.2500 0.7500 0.5000

=====

(3)
TcMoRu2 GGA-PBE optimized geometry; crystal system = orthorhombic; total moment = 0.000 μB/atom; D(E_F) = 1.19 states/eV per atom; volume = 59 Å³ per cell
1.0
-0.9045 -0.7643 -2.4836
0.4880 -3.6890 0.9575
-5.1815 -0.1811 1.9428
Ru Mo Tc
2 1 1
direct
0.5606 0.4713 0.3471
0.0606 0.9713 0.0882
0.0605 0.9713 0.5909
0.5606 0.4713 0.8633

=====

(4)
TcMoRu2 GGA-PBE optimized geometry; crystal system = tetragonal; total moment = 0.000 μB/atom; D(E_F) = 1.40 states/eV per atom; volume = 58 Å³ per cell
1.0
-2.5263 -0.2930 1.0396
-0.3576 -2.2685 -1.5083
2.8635 -4.2766 5.7532
Ru Tc Mo
2 1 1
direct
0.0000 0.0000 0.0052
0.0000 0.0000 0.4948
0.5000 0.5000 0.2500
0.5000 0.5000 0.7500

=====

Verdict on stability: (1) comes out at the bottom.

=====

(1)
TcMoRu2 GGA-PBE optimized geometry; crystal system = monoclinic; total moment = 0.000 μB/atom; D(E_F) = 1.11 states/eV per atom; volume = 59 Å³ per cell
1.0
-2.7868 1.3788 2.8617
-2.0023 -0.1279 -1.8882
-1.9286 -4.8536 0.4604
Ru Mo Tc
2 1 1
direct
0.5000 0.2843 0.2848
0.0000 0.9610 0.9666
0.5000 0.5690 0.7640
0.0000 0.6857 0.4846

=====

(2)
TcMoRu2 GGA-PBE optimized geometry; crystal system = trigonal; total moment = 0.000 μB/atom; D(E_F) = 0.88 states/eV per atom; volume = 59 Å³ per cell
1.0
9.1782 0.0072 0.0042
8.7681 2.7127 0.0042
8.7681 1.3289 2.3649
Tc Ru Mo
1 2 1
direct
0.5036 0.5036 0.5036
0.2487 0.2487 0.2487
0.9998 0.9998 0.9998
0.7479 0.7479 0.7479

=====

Verdict on stability: (1) comes out at the bottom.

=====

(1)
TcMoRu4 GGA-PBE optimized geometry; crystal system = orthorhombic; total moment = 0.000 μB/atom; D(E_F) = 1.04 states/eV per atom; volume = 86 Å³ per cell
1.0
2.7050 0.0000 -0.5195
0.0000 4.3622 -0.0001
-0.0056 0.0001 7.2748
Ru Mo Tc
4 1 1
direct
0.9451 0.0027 0.1351
0.7262 0.5027 0.6975
0.2819 0.0027 0.8097
0.0592 0.5027 0.3642
0.6139 0.0027 0.4746
0.3928 0.5027 0.0300

=====

(2)
TcMoRu4 GGA-PBE optimized geometry; crystal system = cubic; total moment = 0.000 μB/atom; D(E_F) = 1.81 states/eV per atom; volume = 90 Å³ per cell
1.0
3.4768 -3.6308 -0.1597
3.3521 -0.4375 3.7240
-0.2714 -3.8835 3.1845
Tc Ru Mo
1 4 1
direct
0.2500 0.2500 0.2500
0.6248 0.6248 0.1256
0.6248 0.1256 0.6248
0.1256 0.6248 0.6248
0.6248 0.6248 0.6248
0.0000 0.0000 0.0000

=====

Verdict on stability: (2) comes out at the bottom.